No. 1
Density functional theory data (meta-GGA SCAN) for ZnCr2Sb at its PBEsol-relaxed geometry.

Cell lengths 4.4386, 4.4386, 4.4386 Å; angles 60.00, 60.00, 60.00 degrees
Last column: magnetic moment on the atom in μB.
Atoms (fractional coordinates):
Cr 0.0000 0.0000 0.0000  3.55
Cr 0.7500 0.7500 0.7500  -3.27
Sb 0.5000 0.5000 0.5000  0.03
Zn 0.2500 0.2500 0.2500  0.06

Results
- Distance to the lowest polymorph of the same formula: 0 meV per atom
- E_form (uncorrected): 0.152 eV/atom

---

No. 2
Density functional theory data (meta-GGA SCAN) for ZnCrSb at its PBEsol-relaxed geometry.

Cell lengths 4.3589, 4.3589, 4.3589 Å; angles 60.00, 60.00, 60.00 degrees
Last column: magnetic moment on the atom in μB.
Atoms (fractional coordinates):
Cr 0.2500 0.2500 0.2500  3.47
Sb 0.0000 0.0000 0.0000  -0.13
Zn 0.5000 0.5000 0.5000  0.00

Results
- E_form (uncorrected): 0.018 eV/atom

---

No. 3
Density functional theory data (meta-GGA SCAN) for ZnCr2Sb at its PBEsol-relaxed geometry.

Cell lengths 3.2040, 3.2036, 5.7807 Å; angles 90.00, 90.00, 90.00 degrees
Last column: magnetic moment on the atom in μB.
Atoms (fractional coordinates):
Cr 0.0000 0.0000 0.7470  2.42
Cr 0.0000 0.0000 0.2530  2.42
Sb 0.5000 0.5000 0.0000  -0.15
Zn 0.5000 0.5000 0.5000  -0.05

Results
- Distance to the lowest polymorph of the same formula: 137 meV per atom
- E_form (uncorrected): 0.290 eV/atom

---

No. 4
Density functional theory data (meta-GGA SCAN) for ZnCr3Sb at its PBEsol-relaxed geometry.

Cell lengths 4.5391, 4.5391, 4.5391 Å; angles 90.00, 90.00, 90.00 degrees
Last column: magnetic moment on the atom in μB.
Atoms (fractional coordinates):
Sb 0.5000 0.5000 0.5000  -0.19
Zn 0.0000 0.0000 0.0000  0.06
Cr 0.0000 0.5000 0.0000  3.58
Cr 0.0000 0.0000 0.5000  3.58
Cr 0.5000 0.0000 0.0000  3.58

Results
- E_form (uncorrected): 0.823 eV/atom

---

No. 5
Density functional theory data (meta-GGA SCAN) for Zn2CrSb at its PBEsol-relaxed geometry.

Cell lengths 3.0813, 4.4506, 5.5951 Å; angles 111.94, 103.92, 95.02 degrees
Last column: magnetic moment on the atom in μB.
Atoms (fractional coordinates):
Cr 0.0000 0.0000 0.0000  3.30
Sb 0.5000 0.5000 0.0000  -0.10
Zn 0.0000 0.0000 0.5000  -0.04
Zn 0.5000 0.5000 0.5000  -0.04

Results
- E_form (uncorrected): 0.203 eV/atom

---

No. 6
Density functional theory data (meta-GGA SCAN) for ZrCr2Sb at its PBEsol-relaxed geometry.

Cell lengths 3.3923, 4.3349, 4.3349 Å; angles 90.00, 90.00, 90.00 degrees
Last column: magnetic moment on the atom in μB.
Atoms (fractional coordinates):
Cr 0.0000 0.0000 0.5000  1.92
Cr 0.0000 0.5000 0.0000  1.92
Sb 0.5000 0.5000 0.5000  -0.08
Zr 0.5000 0.0000 0.0000  -0.47

Results
- E_form (uncorrected): -0.062 eV/atom

---

No. 7
Density functional theory data (meta-GGA SCAN) for ZrCrSb2 at its PBEsol-relaxed geometry.

Cell lengths 4.1624, 5.0369, 5.0369 Å; angles 62.70, 65.59, 65.59 degrees
Last column: magnetic moment on the atom in μB.
Atoms (fractional coordinates):
Cr 0.0000 0.5000 0.5000  3.36
Sb 0.2727 0.7273 0.7273  -0.04
Sb 0.7273 0.2727 0.2727  -0.04
Zr 0.5000 0.0000 0.0000  -0.39

Results
- Distance to the lowest polymorph of the same formula: 0 meV per atom
- E_form (uncorrected): -0.177 eV/atom

---

No. 8
Density functional theory data (meta-GGA SCAN) for ZrCrSb2 at its PBEsol-relaxed geometry.

Cell lengths 3.2473, 3.2473, 7.1127 Å; angles 90.00, 90.00, 90.00 degrees
Last column: magnetic moment on the atom in μB.
Atoms (fractional coordinates):
Cr 0.5000 0.5000 0.5000  2.48
Sb 0.0000 0.0000 0.7171  -0.09
Sb 0.0000 0.0000 0.2829  -0.09
Zr 0.5000 0.5000 0.0000  -0.20

Results
- Distance to the lowest polymorph of the same formula: 156 meV per atom
- E_form (uncorrected): -0.021 eV/atom

---

- Which of these has the highest E_form (uncorrected)?
  ZnCr3Sb

---

- What is the formula in the sixth record?
  ZrCr2Sb

---

- The lowest E_form (uncorrected) belongs to which entry?
  number 7